[1]
# NaCeSiAu PBE relaxed
# Mass density, g/cm³: 7.22
# Symmetry: F-43m, No. 216
# Uncorrected formation energy, meV per atom: -337
data_NaCeSiAu
_chemical_formula_sum 'Na1 Ce1 Si1 Au1'
_cell_length_a 5.0175
_cell_length_b 5.0175
_cell_length_c 5.0175
_cell_angle_alpha 60.00
_cell_angle_beta 60.00
_cell_angle_gamma 60.00
_space_group_name_H-M_alt 'P 1'
_space_group_IT_number 1
_space_group_name_Hall 'P 1'
loop_
_atom_site_label
_atom_site_fract_x
_atom_site_fract_y
_atom_site_fract_z
Na1 0.0000 0.0000 0.0000
Ce1 0.5000 0.5000 0.5000
Si1 0.7500 0.7500 0.7500
Au1 0.2500 0.2500 0.2500


[2]
# Sr3Ca2Zn2 PBE relaxed
# ΔH_f (0 K), eV per atom: -0.101
# Mass density, g/cm³: 2.96
# Symmetry: C2/m, No. 12
data_Sr3Ca2Zn2
_chemical_formula_sum 'Sr3 Ca2 Zn2'
_cell_length_a 7.3923
_cell_length_b 7.3923
_cell_length_c 9.7613
_cell_angle_alpha 113.43
_cell_angle_beta 113.43
_cell_angle_gamma 33.17
_space_group_name_H-M_alt 'P 1'
_space_group_IT_number 1
_space_group_name_Hall 'P 1'
loop_
_atom_site_label
_atom_site_fract_x
_atom_site_fract_y
_atom_site_fract_z
Sr1 0.0000 0.0000 0.0000
Sr2 0.1188 0.1188 0.4367
Sr3 0.8812 0.8812 0.5633
Ca1 0.3326 0.3326 0.1730
Ca2 0.6674 0.6674 0.8270
Zn1 0.3183 0.3183 0.7867
Zn2 0.6817 0.6817 0.2133


[3]
# InAgS2 PBE relaxed
# Mass density, g/cm³: 4.90
# Symmetry: P3m1, No. 156
# Uncorrected formation energy, meV per atom: -218
data_InAgS2
_chemical_formula_sum 'In1 Ag1 S2'
_cell_length_a 4.5612
_cell_length_b 4.5612
_cell_length_c 5.3938
_cell_angle_alpha 90.00
_cell_angle_beta 90.00
_cell_angle_gamma 120.00
_space_group_name_H-M_alt 'P 1'
_space_group_IT_number 1
_space_group_name_Hall 'P 1'
loop_
_atom_site_label
_atom_site_fract_x
_atom_site_fract_y
_atom_site_fract_z
In1 0.0000 0.0000 0.0000
Ag1 0.3333 0.6667 0.5073
S1 0.0000 0.0000 0.5066
S2 0.3333 0.6667 0.0106


[4]
# AcPr4Au5 PBE relaxed
# ΔH_f (0 K), eV per atom: -0.747
# Mass density, g/cm³: 10.94
# Symmetry: P4/mmm, No. 123
data_AcPr4Au5
_chemical_formula_sum 'Ac1 Pr4 Au5'
_cell_length_a 3.7615
_cell_length_b 3.7615
_cell_length_c 19.0502
_cell_angle_alpha 90.00
_cell_angle_beta 90.00
_cell_angle_gamma 90.00
_space_group_name_H-M_alt 'P 1'
_space_group_IT_number 1
_space_group_name_Hall 'P 1'
loop_
_atom_site_label
_atom_site_fract_x
_atom_site_fract_y
_atom_site_fract_z
Ac1 0.0000 0.0000 0.0000
Pr1 0.0000 0.0000 0.2050
Pr2 0.0000 0.0000 0.4019
Pr3 0.0000 0.0000 0.5981
Pr4 0.0000 0.0000 0.7950
Au1 0.5000 0.5000 0.1093
Au2 0.5000 0.5000 0.3031
Au3 0.5000 0.5000 0.5000
Au4 0.5000 0.5000 0.6969
Au5 0.5000 0.5000 0.8907


Number 1: calculated volume 22.330 A^3/atom. Number 2: calculated volume 37.935 A^3/atom. Number 3: calculated volume 24.296 A^3/atom. Number 4: calculated volume 26.955 A^3/atom.